The following is a GGA-PBEsol calculation of Sr2Zn3 after structural relaxation, from Alexandria via LeMat-Bulk.

Lattice parameters (Å, degrees): 4.2947 4.2947 8.9521 90.00 90.00 120.00
Space group P-3m1 (No. 164)
Inequivalent atoms, fractional coordinates:
Sr: 0.3333 0.6667 0.2016 x2
Zn: 0.0000 0.0000 0.5000 x1
Zn: 0.3333 0.6667 0.5610 x2

Calculated values
Its formation energy is -78 kJ/mol of formula units. As for the total magnetic moment: 0.00 Bohr magnetons per cell. The value obtained for the total energy is -0.06789 Ha/atom. Its calculated density is 4.31 Mg/m³.


The following is a GGA-PBEsol calculation of Ti2TcPt after structural relaxation, from Alexandria via LeMat-Bulk.

Lattice parameters (Å, degrees): 6.1722 6.1722 6.1722 90.00 90.00 90.00
Space group Fm-3m (No. 225)
Inequivalent atoms, fractional coordinates:
Ti: 0.2500 0.2500 0.2500 x8
Tc: 0.0000 0.0000 0.0000 x4
Pt: 0.0000 0.0000 0.5000 x4

Calculated values
Its formation energy is -283 kJ/mol of formula units. As for the total magnetic moment: 0.00 Bohr magnetons per cell. The value obtained for the total energy is -0.34737 Ha/atom. Its calculated density is 10.98 Mg/m³.


The following is a GGA-PBEsol calculation of ZrCr2GaW after structural relaxation, from Alexandria via LeMat-Bulk.

Lattice parameters (Å, degrees): 4.4027 4.4027 4.6736 90.00 90.00 90.00
Space group P4/mmm (No. 123)
Inequivalent atoms, fractional coordinates:
Zr: 0.0000 0.0000 0.0000 x1
Cr: 0.0000 0.5000 0.5000 x2
Ga: 0.5000 0.5000 0.5000 x1
W: 0.5000 0.5000 0.0000 x1

Calculated values
Its formation energy is 589 kJ/mol of formula units. As for the total magnetic moment: 4.82 Bohr magnetons per cell. The value obtained for the total energy is -0.29851 Ha/atom. Its calculated density is 8.23 Mg/m³.


The following is a GGA-PBEsol calculation of SrSb3 after structural relaxation, from Alexandria via LeMat-Bulk.

Lattice parameters (Å, degrees): 10.8366 14.1193 4.1230 90.00 90.00 90.00
Space group Cmcm (No. 63)
Inequivalent atoms, fractional coordinates:
Sr: 0.0000 0.2061 0.2500 x4
Sb: 0.0000 0.4314 0.2500 x4
Sb: 0.2034 0.3182 0.7500 x8

Calculated values
As for the total magnetic moment: 0.00 Bohr magnetons per cell. The energy relative to the elements, uncorrected comes out at -20.6 kJ/mol of atoms. The value obtained for the total energy is -0.15035 Ha/atom. Its calculated density is 4.77 Mg/m³.


The following is a GGA-PBEsol calculation of Rb3LiAs after structural relaxation, from Alexandria via LeMat-Bulk.

Lattice parameters (Å, degrees): 6.2621 6.2621 6.2621 90.00 90.00 90.00
Space group Pm-3m (No. 221)
Inequivalent atoms, fractional coordinates:
Rb: 0.0000 0.0000 0.5000 x3
Li: 0.0000 0.0000 0.0000 x1
As: 0.5000 0.5000 0.5000 x1

Calculated values
Its formation energy is 228 kJ/mol of formula units. As for the total magnetic moment: 1.06 Bohr magnetons per cell. The value obtained for the total energy is -0.05722 Ha/atom. Its calculated density is 2.29 Mg/m³.


The following is a GGA-PBEsol calculation of Hf2HgGeH after structural relaxation, from Alexandria via LeMat-Bulk.

Lattice parameters (Å, degrees): 5.1975 5.1975 3.3559 90.00 90.00 90.00
Space group P4/mmm (No. 123)
Inequivalent atoms, fractional coordinates:
Hf: 0.0000 0.5000 0.0000 x2
Hg: 0.0000 0.0000 0.5000 x1
Ge: 0.5000 0.5000 0.0000 x1
H: 0.5000 0.5000 0.5000 x1

Calculated values
As for the total magnetic moment: 0.00 Bohr magnetons per cell. The value obtained for the total energy is -0.20856 Ha/atom. Its calculated density is 11.56 Mg/m³.